{"formula": "ErCd2", "functional": "PBE", "state": "optimized geometry", "crystal_system": "hexagonal", "spacegroup": "P6/mmm (191)", "ef_ev_per_atom": -0.309, "e_tot_ev_per_atom": -2.43, "lattice": [[4.897, 0.000, 0.000], [-2.449, 4.241, 0.000], [0.000, 0.000, 3.430]], "species": ["Er", "Cd", "Cd"], "fractional_positions": [[0.000, 0.000, 0.000], [0.333, 0.667, 0.500], [0.667, 0.333, 0.500]]}